[1]
{"formula": "SmPuCo2", "functional": "PBE", "state": "relaxed", "cell": [[4.7637, 0.0000, 0.0000], [2.3819, 4.1255, 0.0000], [2.3819, 1.3752, 3.8896]], "species": ["Co", "Co", "Pu", "Sm"], "frac_coords": [[0.2500, 0.2500, 0.2500], [0.7500, 0.7500, 0.7500], [0.0000, 0.0000, 0.0000], [0.5000, 0.5000, 0.5000]], "dft_energy_ev_per_atom": -8.26, "space_group": "No. 225", "crystal_system": "cubic", "ef_kj_per_mol_fu": 20}


[2]
{"formula": "SmPuCo5", "functional": "PBE", "state": "relaxed", "cell": [[-1.4044, -2.8439, 3.7670], [-2.7863, -5.7621, -5.3887], [9.2864, -4.5300, 0.0422]], "species": ["Sm", "Sm", "Sm", "Sm", "Co", "Co", "Co", "Co", "Co", "Co", "Co", "Co", "Co", "Co", "Co", "Co", "Co", "Co", "Co", "Co", "Co", "Co", "Co", "Co", "Pu", "Pu", "Pu", "Pu"], "frac_coords": [[0.2500, 0.2544, 0.9324], [0.7500, 0.2456, 0.4324], [0.7500, 0.7456, 0.0676], [0.2500, 0.7544, 0.5676], [0.4975, 0.4301, 0.1880], [0.5025, 0.5699, 0.8120], [0.7500, 0.4357, 0.9867], [0.9975, 0.5699, 0.8120], [0.0025, 0.9301, 0.3120], [0.2500, 0.9502, 0.1091], [0.7500, 0.0498, 0.8909], [0.0025, 0.4301, 0.1880], [0.7500, 0.9357, 0.5133], [0.5025, 0.0699, 0.6880], [0.2500, 0.6885, 0.2384], [0.2500, 0.4502, 0.3909], [0.9975, 0.0699, 0.6880], [0.2500, 0.5643, 0.0133], [0.2500, 0.1885, 0.2616], [0.7500, 0.8115, 0.7384], [0.7500, 0.3115, 0.7616], [0.7500, 0.5498, 0.6091], [0.2500, 0.0643, 0.4867], [0.4975, 0.9301, 0.3120], [0.2500, 0.3701, 0.6258], [0.7500, 0.6299, 0.3742], [0.7500, 0.1299, 0.1258], [0.2500, 0.8701, 0.8742]], "dft_energy_ev_per_atom": -7.88, "space_group": "No. 62", "crystal_system": "orthorhombic", "ef_kj_per_mol_fu": -57}


[3]
{"formula": "Sm3PuCo3", "functional": "PBE", "state": "relaxed", "cell": [[3.8645, 0.0000, 0.5821], [1.9159, 6.0555, 0.3996], [-0.0111, -0.0140, 13.1921]], "species": ["Co", "Co", "Co", "Co", "Co", "Co", "Sm", "Sm", "Sm", "Sm", "Sm", "Sm", "Pu", "Pu"], "frac_coords": [[0.1090, 0.3233, 0.4587], [0.0863, 0.8999, 0.9275], [0.0679, 0.0952, 0.7691], [0.8910, 0.6767, 0.5413], [0.9321, 0.9048, 0.2309], [0.9137, 0.1001, 0.0725], [0.7345, 0.7381, 0.7929], [0.4052, 0.2672, 0.9223], [0.2655, 0.2619, 0.2071], [0.5948, 0.7328, 0.0777], [0.4994, 0.3642, 0.6370], [0.5006, 0.6358, 0.3630], [0.7643, 0.0681, 0.4033], [0.2357, 0.9319, 0.5967]], "dft_energy_ev_per_atom": -7.19, "space_group": "No. 12", "crystal_system": "monoclinic", "ef_kj_per_mol_fu": -51}


[4]
{"formula": "SmPu3Co", "functional": "PBE", "state": "relaxed", "cell": [[5.1965, 0.0000, 0.0000], [0.0000, 5.1965, 0.0000], [0.0000, 0.0000, 5.1965]], "species": ["Pu", "Pu", "Pu", "Sm", "Co"], "frac_coords": [[0.5000, 0.0000, 0.0000], [0.0000, 0.0000, 0.5000], [0.0000, 0.5000, 0.0000], [0.5000, 0.5000, 0.5000], [0.0000, 0.0000, 0.0000]], "dft_energy_ev_per_atom": -10.71, "space_group": "No. 221", "crystal_system": "cubic", "ef_kj_per_mol_fu": 123}


[5]
{"formula": "Sm2PuCo", "functional": "PBE", "state": "relaxed", "cell": [[-0.5137, 2.3780, -2.8163], [-1.9904, -1.0346, -2.9695], [-8.5553, 3.6057, 2.1460]], "species": ["Sm", "Sm", "Co", "Pu"], "frac_coords": [[0.2254, 0.2254, 0.3239], [0.7746, 0.7746, 0.6761], [0.5000, 0.5000, 0.5000], [0.0000, 0.0000, 0.0000]], "e_above_lowest_polymorph_ev_per_fu": 0.33, "dft_energy_ev_per_atom": -7.55, "space_group": "No. 166", "crystal_system": "trigonal", "ef_kj_per_mol_fu": 64}


[6]
{"formula": "SmPuCo10", "functional": "PBE", "state": "relaxed", "cell": [[-2.6463, 2.7890, -0.9442], [-2.7920, -3.4020, -2.2239], [-4.1042, -1.4164, 7.3193]], "species": ["Co", "Co", "Co", "Co", "Co", "Co", "Co", "Co", "Co", "Co", "Pu", "Sm"], "frac_coords": [[0.0000, 0.0000, 0.6563], [0.5000, 0.0000, 0.5000], [0.5000, 0.2506, 0.2530], [0.5000, 0.7494, 0.7470], [0.0000, 0.5000, 0.1810], [0.0000, 0.5000, 0.8190], [0.5000, 0.2506, 0.7470], [0.5000, 0.7494, 0.2530], [0.5000, 0.5000, 0.0000], [0.0000, 0.0000, 0.3437], [0.0000, 0.5000, 0.5000], [0.0000, 0.0000, 0.0000]], "dft_energy_ev_per_atom": -7.58, "space_group": "No. 47", "crystal_system": "orthorhombic", "ef_kj_per_mol_fu": -86}


[7]
{"formula": "SmPuCo2", "functional": "PBE", "state": "relaxed", "cell": [[3.8219, 0.0000, -0.0279], [0.0000, 3.7966, 0.0000], [-1.8768, 0.0000, 5.5756]], "species": ["Pu", "Co", "Co", "Sm"], "frac_coords": [[0.4529, 0.5000, 0.4447], [0.1359, 0.5000, 0.8109], [0.0094, 0.0000, 0.5582], [0.7329, 0.0000, 0.0043]], "dft_energy_ev_per_atom": -8.36, "space_group": "No. 38", "crystal_system": "orthorhombic", "ef_kj_per_mol_fu": -17}


[8]
{"formula": "SmPuCo2", "functional": "PBE", "state": "relaxed", "cell": [[4.1996, 0.0000, 0.0000], [0.0000, 5.5605, 0.0000], [0.0000, 0.0000, 13.4328]], "species": ["Co", "Co", "Co", "Co", "Co", "Co", "Co", "Co", "Sm", "Sm", "Sm", "Sm", "Pu", "Pu", "Pu", "Pu"], "frac_coords": [[0.7500, 0.7493, 0.7500], [0.7500, 0.5006, 0.1765], [0.7500, 0.0006, 0.3235], [0.2500, 0.9994, 0.6765], [0.2500, 0.4994, 0.8235], [0.7500, 0.2493, 0.7500], [0.2500, 0.7507, 0.2500], [0.2500, 0.2507, 0.2500], [0.7500, 0.0005, 0.1256], [0.2500, 0.4995, 0.6256], [0.2500, 0.9995, 0.8744], [0.7500, 0.5005, 0.3744], [0.7500, 0.4996, 0.9213], [0.7500, 0.9996, 0.5787], [0.2500, 0.5004, 0.0787], [0.2500, 0.0004, 0.4213]], "dft_energy_ev_per_atom": -8.31, "space_group": "No. 62", "crystal_system": "orthorhombic", "ef_kj_per_mol_fu": 1}